No. 1
Rb4PrPa3O12 after structural relaxation. Source: Alexandria, functional GGA-PBE.

abc: 7.7319 7.7319 7.7319
angles: 109.47 109.47 109.47
Last column: nearest neighbours and their distance in Å.
Sites, in units of the cell vectors:
1 Rb 0.0000 0.0000 0.5000  12 O 3.16
2 Rb 0.0000 0.5000 0.0000  12 O 3.16
3 Rb 0.5000 0.0000 0.0000  12 O 3.16
4 Rb 0.5000 0.5000 0.5000  12 O 3.16
5 Pr 0.0000 0.0000 0.0000  6 O 2.38
6 Pa 0.0000 0.5000 0.5000  6 O 2.08-2.23
7 Pa 0.5000 0.0000 0.5000  6 O 2.08-2.23
8 Pa 0.5000 0.5000 0.0000  6 O 2.08-2.23
9 O 0.0000 0.2671 0.2671  1 Pa 2.08
10 O 0.0000 0.7329 0.7329  1 Pa 2.08
11 O 0.2500 0.5000 0.7500  2 Pa 2.23
12 O 0.2500 0.7500 0.5000  2 Pa 2.23
13 O 0.2671 0.0000 0.2671  1 Pa 2.08
14 O 0.2671 0.2671 0.0000  1 Pa 2.08
15 O 0.5000 0.2500 0.7500  2 Pa 2.23
16 O 0.5000 0.7500 0.2500  2 Pa 2.23
17 O 0.7329 0.0000 0.7329  1 Pa 2.08
18 O 0.7329 0.7329 0.0000  1 Pa 2.08
19 O 0.7500 0.2500 0.5000  2 Pa 2.23
20 O 0.7500 0.5000 0.2500  2 Pa 2.23

* DOS(E_F): 19.8 states/eV/f.u.
* DFT total energy: -7.643 eV/atom

***

No. 2
Zn3CdSe4 after structural relaxation. Source: Alexandria, functional GGA-PBE.

abc: 4.1268 7.1820 7.1820
angles: 70.41 90.00 90.00
Last column: nearest neighbours and their distance in Å.
Sites, in units of the cell vectors:
1 Zn 0.0000 0.0000 0.0000  4 Se 2.50-2.53
2 Zn 0.5000 0.0009 0.4983  4 Se 2.47-2.53
3 Zn 0.5000 0.4983 0.0009  4 Se 2.47-2.53
4 Cd 0.0000 0.4978 0.4978  4 Se 2.63-2.64
5 Se 0.0000 0.1078 0.6302  3 Zn 2.50, 1 Cd 2.64
6 Se 0.0000 0.6302 0.1078  3 Zn 2.50, 1 Cd 2.64
7 Se 0.5000 0.1249 0.1249  4 Zn 2.53
8 Se 0.5000 0.6366 0.6366  2 Zn 2.47, 2 Cd 2.63

* DFT total energy: -3.008 eV/atom

***

No. 3
TmGaAu after structural relaxation. Source: Alexandria, functional GGA-PBE.

abc: 5.7842 5.7842 5.7842
angles: 145.50 145.50 49.58
Last column: nearest neighbours and their distance in Å.
Sites, in units of the cell vectors:
1 Tm 0.0000 0.0000 0.0000  4 Au 3.04, 5 Ga 3.10-3.32
2 Ga 0.6840 0.6840 0.0000  4 Au 2.85, 4 Tm 3.10
3 Au 0.3256 0.3256 0.0000  4 Ga 2.85, 4 Tm 3.04

* DOS(E_F): 2.1 states/eV/f.u.
* energy of formation from the pure elements: -0.559 eV/atom